Record 1
A geometry-optimized Be2AlTc structure. Source: Alexandria via LeMat-Bulk, functional GGA-PBE.

a b c (Å): 7.9842 7.9842 7.9842
angles (deg): 19.55 19.55 19.55
Atoms (fractional coordinates):
Be 0.4978 0.4978 0.4978
Be 0.0022 0.0022 0.0022
Al 0.2500 0.2500 0.2500
Tc 0.7500 0.7500 0.7500

## Properties
space-group type = No. 166
calculated density = 4763 kg/m³
raw total energy = -5.20 eV per atom

Record 2
A geometry-optimized CuC structure. Source: Alexandria via LeMat-Bulk, functional GGA-PBE.

a b c (Å): 6.9020 6.9020 3.9730
angles (deg): 90.00 90.00 90.00
Atoms (fractional coordinates):
Cu 0.1657 0.6657 0.0000
C 0.1289 0.6289 0.5000
Cu 0.6657 0.1657 0.5000
Cu 0.8343 0.3343 0.0000
Cu 0.1657 0.3343 0.5000
C 0.6289 0.1289 0.0000
C 0.3711 0.8711 0.0000
C 0.6289 0.8711 0.5000
Cu 0.8343 0.6657 0.5000
C 0.8711 0.6289 0.0000
C 0.1289 0.3711 0.0000
Cu 0.3343 0.1657 0.0000
Cu 0.6657 0.8343 0.0000
Cu 0.3343 0.8343 0.5000
C 0.8711 0.3711 0.5000
C 0.3711 0.1289 0.5000

## Properties
space-group type = No. 140
calculated density = 5303 kg/m³
energy above the lowest structure with this stoichiometry = 1.409 eV per atom
raw total energy = -5.03 eV per atom

Record 3
A geometry-optimized LaPmNdSe3 structure. Source: Alexandria via LeMat-Bulk, functional GGA-PBE.

a b c (Å): 4.1230 7.3792 11.0551
angles (deg): 102.71 90.00 90.00
Atoms (fractional coordinates):
Se 0.2500 0.4544 0.8371
Se 0.2500 0.7143 0.5041
Nd 0.2500 0.1215 0.6296
Se 0.7500 0.5456 0.1629
La 0.7500 0.6557 0.6970
Pm 0.2500 0.7670 0.0575
Nd 0.7500 0.8785 0.3704
Se 0.2500 0.9436 0.8431
Se 0.7500 0.0564 0.1569
Se 0.7500 0.2857 0.4959
La 0.2500 0.3443 0.3030
Pm 0.7500 0.2330 0.9425

## Properties
space-group type = No. 11
calculated density = 6731 kg/m³
uncorrected formation energy = -1826.7 meV per atom
raw total energy = -5.98 eV per atom

Record 4
A geometry-optimized Li8Tl2Au structure. Source: Alexandria via LeMat-Bulk, functional GGA-PBE.

a b c (Å): 4.3986 6.4579 7.5928
angles (deg): 106.04 106.84 90.00
Atoms (fractional coordinates):
Li 0.8576 0.8274 0.7153
Li 0.9696 0.2591 0.9392
Li 0.4062 0.5739 0.8123
Tl 0.2108 0.6461 0.4216
Li 0.0304 0.7409 0.0608
Tl 0.7892 0.3539 0.5784
Li 0.6680 0.9068 0.3360
Li 0.1424 0.1726 0.2847
Au 0.5000 0.0000 0.0000
Li 0.5938 0.4261 0.1877
Li 0.3320 0.0932 0.6640

## Properties
space-group type = No. 12
calculated density = 5556 kg/m³
raw total energy = -2.39 eV per atom

Record 5
A geometry-optimized AgTe2 structure. Source: Alexandria via LeMat-Bulk, functional GGA-PBE.

a b c (Å): 10.2794 10.2794 4.0951
angles (deg): 90.00 90.00 155.77
Atoms (fractional coordinates):
Ag 0.4728 0.5272 0.5000
Te 0.7712 0.2288 0.5000
Te 0.3749 0.6251 0.0000
Te 0.0695 0.9305 0.5000
Te 0.6732 0.3268 0.0000
Ag 0.9716 0.0284 0.0000

## Properties
space-group type = No. 63
calculated density = 6789 kg/m³
uncorrected formation energy = 64.8 meV per atom
raw total energy = -2.98 eV per atom

Record 6
A geometry-optimized MnBeTl structure. Source: Alexandria via LeMat-Bulk, functional GGA-PBE.

a b c (Å): 4.1636 4.1636 4.1636
angles (deg): 60.00 60.00 60.00
Atoms (fractional coordinates):
Be 0.7500 0.7500 0.7500
Mn 0.0000 0.0000 0.0000
Tl 0.5000 0.5000 0.5000

## Properties
space-group type = No. 216
calculated density = 8731 kg/m³
energy above the lowest structure with this stoichiometry = 0.000 eV per atom
raw total energy = -4.59 eV per atom

Record 7
A geometry-optimized LaEu2Dy structure. Source: Alexandria via LeMat-Bulk, functional GGA-PBE.

a b c (Å): 5.9472 5.9472 5.9472
angles (deg): 60.00 60.00 60.00
Atoms (fractional coordinates):
La 0.5000 0.5000 0.5000
Dy 0.0000 0.0000 0.0000
Eu 0.2500 0.2500 0.2500
Eu 0.7500 0.7500 0.7500

## Properties
space-group type = No. 225
calculated density = 6758 kg/m³
energy above the lowest structure with this stoichiometry = 0.038 eV per atom
raw total energy = -7.38 eV per atom

Record 8
A geometry-optimized CeGdPtRh structure. Source: Alexandria via LeMat-Bulk, functional GGA-PBE.

a b c (Å): 4.9787 4.9787 4.9787
angles (deg): 60.00 60.00 60.00
Atoms (fractional coordinates):
Gd 0.5000 0.5000 0.5000
Pt 0.7500 0.7500 0.7500
Ce 0.0000 0.0000 0.0000
Rh 0.2500 0.2500 0.2500

## Properties
space-group type = No. 216
calculated density = 11329 kg/m³
raw total energy = -9.23 eV per atom